LaZr3F: relaxed, GGA-PBE.

As for the total energy: -0.1936 hartree per atom. As for the space group: Pm-3m (221). For the density of states at the Fermi level, the calculation gives 8.16 states/eV per cell.

Cell: 5.208 5.208 5.208 Å, 90.00 90.00 90.00°
Fractional positions:
F  0.500  0.500  0.500
Zr  0.000  0.500  0.000
Zr  0.000  0.000  0.500
Zr  0.500  0.000  0.000
La  0.000  0.000  0.000

---

Mg3Pa3FeN8: relaxed, GGA-PBE.

As for the total energy: -0.2998 hartree per atom. As for the space group: R-3m (166). For the density of states at the Fermi level, the calculation gives 7.87 states/eV per cell.

Cell: 6.680 6.679 6.440 Å, 121.24 90.00 120.00°
Site moments in Bohr magnetons follow the coordinates.
Fractional positions:
Mg  0.000  0.000  0.000  0.00
Mg  0.000  0.500  0.000  0.00
Mg  0.500  0.500  0.000  0.00
Pa  0.500  0.000  0.500  -0.06
Pa  0.500  0.500  0.500  -0.06
Pa  0.000  0.500  0.500  -0.06
Fe  0.000  0.000  0.500  1.21
N  0.248  0.496  0.244  0.01
N  0.752  0.504  0.756  0.01
N  0.772  0.543  0.280  0.00
N  0.228  0.457  0.720  0.00
N  0.772  0.009  0.280  0.00
N  0.228  0.991  0.720  0.00
N  0.237  0.009  0.280  0.00
N  0.763  0.991  0.720  0.00

---

BeAl2Os: relaxed, GGA-PBE.

As for the energy of formation from the pure elements: -1.0 eV per formula unit. As for the total energy: -0.2156 hartree per atom. As for the space group: P4mm (99). For the density of states at the Fermi level, the calculation gives 0.80 states/eV per cell.

Cell: 3.133 3.133 5.363 Å, 90.00 90.00 90.00°
Fractional positions:
Be  0.000  0.000  0.517
Os  0.500  0.500  0.735
Al  0.000  0.000  0.977
Al  0.500  0.500  0.270

---

Rb2Sc3Cl8: relaxed, GGA-PBE.

As for the total energy: -0.1703 hartree per atom. As for the space group: C2/m (12). For the density of states at the Fermi level, the calculation gives 2.17 states/eV per cell.

Cell: 7.396 6.569 8.905 Å, 103.37 114.54 90.00°
Site moments in Bohr magnetons follow the coordinates.
Fractional positions:
Rb  0.263  0.316  0.526  0.00
Rb  0.737  0.684  0.474  0.00
Sc  0.000  0.500  0.000  0.70
Sc  0.775  0.000  0.000  0.71
Sc  0.225  0.000  0.000  0.71
Cl  0.593  0.928  0.185  0.00
Cl  0.407  0.072  0.815  0.00
Cl  0.106  0.883  0.212  -0.01
Cl  0.894  0.117  0.788  -0.01
Cl  0.141  0.616  0.808  0.00
Cl  0.667  0.616  0.808  0.00
Cl  0.333  0.384  0.192  0.00
Cl  0.859  0.384  0.192  0.00

---

V2InGe2: relaxed, GGA-PBE.

As for the energy of formation from the pure elements: 0.6 eV per formula unit. As for the total energy: -0.2175 hartree per atom. As for the space group: I4/mmm (139). For the density of states at the Fermi level, the calculation gives 1.82 states/eV per cell.

Cell: 4.068 4.068 6.096 Å, 70.51 70.51 90.00°
Fractional positions:
Ge  0.387  0.387  0.226
Ge  0.613  0.613  0.774
In  0.000  0.000  0.000
V  0.750  0.250  0.500
V  0.250  0.750  0.500

---

Cs2CuSeCl6: relaxed, GGA-PBE.

As for the total energy: -0.1134 hartree per atom. As for the space group: I4/mmm (139). For the density of states at the Fermi level, the calculation gives 3.54 states/eV per cell.

Cell: 7.404 7.403 7.599 Å, 60.83 60.83 90.02°
Site moments in Bohr magnetons follow the coordinates.
Fractional positions:
Cs  0.750  0.250  0.500  0.00
Cs  0.250  0.750  0.500  0.00
Cu  0.000  0.000  0.000  0.08
Se  0.500  0.500  0.000  0.28
Cl  0.198  0.198  0.604  0.03
Cl  0.733  0.733  0.000  0.03
Cl  0.267  0.733  0.000  0.03
Cl  0.733  0.267  0.000  0.03
Cl  0.267  0.267  0.000  0.03
Cl  0.802  0.802  0.396  0.03

---

Nd4Sm8Tm: relaxed, GGA-PBE.

As for the energy of formation from the pure elements: 6.3 eV per formula unit. As for the total energy: -0.1554 hartree per atom. As for the space group: R-3m (166). For the density of states at the Fermi level, the calculation gives 19.31 states/eV per cell.

Cell: 11.212 11.212 7.890 Å, 90.00 135.28 120.00°
Site moments in Bohr magnetons follow the coordinates.
Fractional positions:
Nd  0.000  0.000  0.000  -0.04
Nd  0.000  0.500  0.000  0.12
Nd  0.500  0.500  0.000  0.12
Nd  0.500  0.000  0.000  0.12
Sm  0.523  0.761  0.284  0.04
Sm  0.477  0.239  0.716  0.04
Sm  0.476  0.238  0.231  0.04
Sm  0.007  0.245  0.769  0.04
Sm  0.524  0.762  0.769  0.04
Sm  0.007  0.762  0.769  0.04
Sm  0.993  0.238  0.231  0.04
Sm  0.993  0.755  0.231  0.04
Tm  0.000  0.500  0.500  0.03

---

ZrTe2Cl: relaxed, GGA-PBE.

As for the total energy: -0.1732 hartree per atom. As for the space group: Pm (6). For the density of states at the Fermi level, the calculation gives 1.73 states/eV per cell.

Cell: 4.342 3.950 7.218 Å, 76.73 90.00 90.00°
Fractional positions:
Cl  0.500  0.568  0.760
Te  0.000  0.032  0.847
Te  0.500  0.241  0.350
Zr  0.000  0.659  0.543